Density functional theory data (PBE) for crystalline CoCuSi2 at its relaxed geometry.

Calculated values
**DOS(E_F)**: 1.47 states/eV per cell
**VASP energy**: -5.69 eV/atom
**Size of the total moment**: 0.000 Bohr magnetons per cell

Lattice parameters (Å, degrees): 3.185 3.185 4.741 90.00 90.00 90.00
Atoms (fractional coordinates):
Co 0.000 0.000 0.000
Cu 0.500 0.500 0.306
Si 0.000 0.000 0.512
Si 0.500 0.500 0.814

---

Density functional theory data (PBE) for crystalline LiTaOs2 at its relaxed geometry.

Calculated values
**DOS(E_F)**: 3.94 states/eV per cell
**Formation enthalpy at 0 K**: 0.6 eV/f.u.
**Size of the total moment**: 0.000 Bohr magnetons per cell

Lattice parameters (Å, degrees): 2.747 2.747 8.821 90.00 90.00 113.20
Atoms (fractional coordinates):
Li 0.000 0.000 0.000
Ta 0.000 0.000 0.500
Os 0.500 0.500 0.252
Os 0.500 0.500 0.748

---

Density functional theory data (PBE) for crystalline NiRhW3 at its relaxed geometry.

Calculated values
**DOS(E_F)**: 7.70 states/eV per cell
**Energy relative to the lowest polymorph listed for this composition**: 0.702 eV/atom
**Formation enthalpy at 0 K**: 11.1 eV/f.u.
**Size of the total moment**: 0.001 Bohr magnetons per cell

Lattice parameters (Å, degrees): 4.665 4.665 4.665 90.00 90.00 90.00
Atoms (fractional coordinates):
Ni 0.000 0.000 0.000
Rh 0.500 0.500 0.500
W 0.000 0.500 0.500
W 0.500 0.000 0.500
W 0.500 0.500 0.000

---

Density functional theory data (PBE) for crystalline LaGeP2S at its relaxed geometry.

Calculated values
**DOS(E_F)**: 5.85 states/eV per cell
**Energy relative to the lowest polymorph listed for this composition**: 0.000 eV/atom
**Size of the total moment**: 0.000 Bohr magnetons per cell

Lattice parameters (Å, degrees): 4.716 4.716 4.909 90.00 90.00 90.00
Atoms (fractional coordinates):
La 0.000 0.000 0.000
Ge 0.500 0.500 0.500
P 0.000 0.500 0.500
P 0.500 0.000 0.500
S 0.500 0.500 0.000

---

Density functional theory data (PBE) for crystalline CaLa2NdHg4 at its relaxed geometry.

Calculated values
**DOS(E_F)**: 7.02 states/eV per cell
**Formation enthalpy at 0 K**: -4.2 eV/f.u.
**Size of the total moment**: 0.002 Bohr magnetons per cell

Lattice parameters (Å, degrees): 9.470 9.470 9.470 33.58 33.58 33.58
Atoms (fractional coordinates):
Ca 0.000 0.000 0.000
La 0.252 0.252 0.252
La 0.748 0.748 0.748
Nd 0.500 0.500 0.500
Hg 0.126 0.126 0.126
Hg 0.376 0.376 0.376
Hg 0.624 0.624 0.624
Hg 0.874 0.874 0.874

---

Density functional theory data (PBE) for crystalline Ac5Sb2Te2 at its relaxed geometry.

Calculated values
**DOS(E_F)**: 17.25 states/eV per cell
**VASP energy**: -5.02 eV/atom
**Size of the total moment**: 0.001 Bohr magnetons per cell

Lattice parameters (Å, degrees): 9.534 9.534 8.876 90.00 90.00 54.91
Atoms (fractional coordinates):
Ac 0.000 0.000 0.000
Ac 0.023 0.707 0.656
Ac 0.207 0.523 0.156
Ac 0.293 0.977 0.656
Ac 0.477 0.793 0.156
Ac 0.500 0.500 0.500
Ac 0.523 0.207 0.844
Ac 0.707 0.023 0.344
Ac 0.793 0.477 0.844
Ac 0.977 0.293 0.344
Sb 0.144 0.856 0.356
Sb 0.356 0.644 0.856
Sb 0.644 0.356 0.144
Sb 0.856 0.144 0.644
Te 0.197 0.197 0.000
Te 0.303 0.303 0.500
Te 0.697 0.697 0.500
Te 0.803 0.803 0.000

---

- Look up the DOS(E_F) of the fifth one.
  7.02 states/eV per cell

---

- The highest size of the total moment belongs to which entry?
  CaLa2NdHg4

---

- DOS(E_F) of number 1 (CoCuSi2)?
  1.47 states/eV per cell

---

- size of the total moment of number 6 (Ac5Sb2Te2)?
  0.001 Bohr magnetons per cell